Here is crystalline La2ZrInFe at its relaxed geometry from Alexandria via LeMat-Bulk. Energies are from GGA-PBEsol.

Computed properties:
The space group is P4/mmm, No. 123. The calculation puts the energy relative to the elements at -6 kJ per mole of atoms.

Geometry as POSCAR:
```
La2ZrInFe
1.0
5.0071 0.0000 0.0000
0.0000 5.0071 0.0000
0.0000 0.0000 5.0565
Zr La Fe In
1 2 1 1
direct
0.0000 0.0000 0.5000 Zr
0.5000 0.0000 0.0000 La
0.0000 0.5000 0.0000 La
0.0000 0.0000 0.0000 Fe
0.5000 0.5000 0.5000 In
```

=====

Here is crystalline KTlCl2 at its relaxed geometry from Alexandria via LeMat-Bulk. Energies are from GGA-PBEsol.

Computed properties:
For the formation energy (no corrections), the calculation gives -1427 meV per atom. The calculation puts the polymorph energy (0 for the lowest one) at 0.008 eV/atom. The space group is R-3m, No. 166.

Geometry as POSCAR:
```
KTlCl2
1.0
4.4223 0.0000 0.0000
2.2111 3.8298 0.0000
2.2111 1.2766 7.2852
Tl Cl K
1 2 1
direct
0.0000 0.0000 0.0000 Tl
0.2475 0.2475 0.2576 Cl
0.7525 0.7525 0.7424 Cl
0.5000 0.5000 0.5000 K
```